DFT (PBE) results for an optimized crystal structure of Sm2ErNi9.

Properties
The energy of formation is -0.3695 eV per atom. The size of the total moment comes out at 0.089 μB per atom. The calculation puts the density of states at the Fermi level at 14.36 states/eV/f.u.

```
data_Sm2ErNi9
_cell_length_a 4.9727
_cell_length_b 4.9727
_cell_length_c 24.6389
_cell_angle_alpha 90.00
_cell_angle_beta 90.00
_cell_angle_gamma 120.00
_symmetry_space_group_name_H-M 'R -3 m'
_symmetry_Int_Tables_number 166
_symmetry_space_group_name_Hall '-R 3 2"'
loop_
_atom_site_label
_atom_site_type_symbol
_atom_site_fract_x
_atom_site_fract_y
_atom_site_fract_z
Sm1 Sm 0.0000 0.0000 0.1381
Er1 Er 0.0000 0.0000 0.0000
Ni1 Ni 0.0000 0.0000 0.3329
Ni2 Ni 0.0000 0.0000 0.5000
Ni3 Ni 0.0002 0.5001 0.0804
```